The following is a DFT calculation (PBE+U) of a relaxed structure of MnTlCrO6.

Lattice parameters (Å, degrees): 5.0239 8.7568 4.7555 90.00 90.99 90.00
Last column: nearest neighbours and their distance in Å.
Space group C2 (No. 5)
Unique sites:
Mn (0.0000, 0.0000, 0.0000) (multiplicity 2)  6 O 1.90-1.92
Tl (0.0000, 0.3363, 0.5000) (multiplicity 2)  6 O 2.26-2.32
Cr (0.0000, 0.6708, 0.0000) (multiplicity 2)  6 O 1.87-1.94
O (0.1267, 0.8315, 0.7812) (multiplicity 4)  1 Cr 1.87, 1 Mn 1.92
O (0.1833, 0.5193, 0.7768) (multiplicity 4)  1 Mn 1.90, 1 Cr 1.94
O (0.1903, 0.1481, 0.7821) (multiplicity 4)  1 Cr 1.87, 1 Mn 1.92

Calculated values
V in Å³ per atom: 11.6
Crystal system: monoclinic
E in eV/atom: -6.32